The following is a PBE calculation of a geometry-optimized MgSc2Pd structure, from the Alexandria database.

Cell: 7.840 7.840 5.787 Å, 90.00 90.00 90.00°
Space group I-42d (No. 122)
One atom of each set of equivalent atoms:
1 Mg 0.000 0.000 0.000 (multiplicity 4)
2 Sc 0.199 0.250 0.625 (multiplicity 8)
3 Pd 0.000 0.000 0.500 (multiplicity 4)

Output
density of states at the Fermi level: 4.679 states/eV/f.u.
E: -5.0277 eV per atom
total moment: 0.003 Bohr magnetons per cell
volume: 355.72 Å³/cell
energy relative to the elements: -15.9 kJ/mol of atoms



The following is a PBE calculation of a geometry-optimized Mn2BeHIr structure, from the Alexandria database.

Cell: 3.561 3.561 3.884 Å, 90.00 90.00 90.00°
Space group P4/mmm (No. 123)
One atom of each set of equivalent atoms:
1 Mn 0.000 0.500 0.000 (multiplicity 2)
2 Be 0.000 0.000 0.500 (multiplicity 1)
3 H 0.000 0.000 0.000 (multiplicity 1)
4 Ir 0.500 0.500 0.500 (multiplicity 1)

Output
ΔE to the lowest computed polymorph: 0 meV per atom
density of states at the Fermi level: 2.779 states/eV/f.u.
E: -6.9399 eV per atom
total moment: 4.664 Bohr magnetons per cell
volume: 49.25 Å³/cell



The following is a PBE calculation of a geometry-optimized InCu4S5 structure, from the Alexandria database.

Cell: 7.905 7.905 5.119 Å, 90.00 90.00 90.00°
Space group I4/m (No. 87)
One atom of each set of equivalent atoms:
1 In 0.000 0.000 0.000 (multiplicity 2)
2 Cu 0.106 0.302 0.500 (multiplicity 8)
3 S 0.000 0.000 0.500 (multiplicity 2)
4 S 0.108 0.312 0.000 (multiplicity 8)

Output
E_form (uncorrected): -0.135 eV per atom
density of states at the Fermi level: 4.719 states/eV/f.u.
E: -4.1109 eV per atom
total moment: 0.000 Bohr magnetons per cell
volume: 319.90 Å³/cell



The following is a PBE calculation of a geometry-optimized SrAg2Au4 structure, from the Alexandria database.

Cell: 7.329 7.329 5.462 Å, 90.00 90.00 90.00°
Space group I4/mmm (No. 139)
One atom of each set of equivalent atoms:
1 Sr 0.000 0.000 0.000 (multiplicity 2)
2 Ag 0.000 0.500 0.250 (multiplicity 4)
3 Au 0.195 0.195 0.500 (multiplicity 8)

Output
density of states at the Fermi level: 3.113 states/eV/f.u.
E: -3.2736 eV per atom
total moment: 0.000 Bohr magnetons per cell
volume: 293.40 Å³/cell
energy relative to the elements: -33.4 kJ/mol of atoms



The following is a PBE calculation of a geometry-optimized As2Au structure, from the Alexandria database.

Cell: 4.7950 4.7950 5.8164 Å, 90.00 90.00 120.00°
Space group P6_3/mmc (No. 194)
One atom of each set of equivalent atoms:
1 As 0.0000 0.0000 0.0000 (multiplicity 2)
2 As 0.3333 0.6667 0.2500 (multiplicity 2)
3 Au 0.3333 0.6667 0.7500 (multiplicity 2)

Output
density of states at the Fermi level: 1.103 states/eV/f.u.
E: -3.7758 eV per atom
total moment: 0.000 Bohr magnetons per cell
volume: 115.81 Å³/cell
energy relative to the elements: 40.2 kJ/mol of atoms



The following is a PBE calculation of a geometry-optimized CaErAs2Rh5 structure, from the Alexandria database.

Cell: 4.266 4.266 8.620 Å, 90.00 90.00 90.00°
Space group P4/mmm (No. 123)
One atom of each set of equivalent atoms:
1 Ca 0.000 0.000 0.000 (multiplicity 1)
2 Er 0.000 0.000 0.500 (multiplicity 1)
3 As 0.500 0.500 0.352 (multiplicity 2)
4 Rh 0.000 0.500 0.233 (multiplicity 4)
5 Rh 0.500 0.500 0.000 (multiplicity 1)

Output
density of states at the Fermi level: 6.841 states/eV/f.u.
E: -6.4445 eV per atom
total moment: 0.000 Bohr magnetons per cell
volume: 156.85 Å³/cell
energy relative to the elements: -57.7 kJ/mol of atoms



The following is a PBE calculation of a geometry-optimized BaTaCrIr2 structure, from the Alexandria database.

Cell: 4.790 4.790 4.610 Å, 90.00 90.00 90.00°
Space group P4/mmm (No. 123)
One atom of each set of equivalent atoms:
1 Ba 0.000 0.000 0.000 (multiplicity 1)
2 Ta 0.500 0.500 0.000 (multiplicity 1)
3 Cr 0.500 0.500 0.500 (multiplicity 1)
4 Ir 0.000 0.500 0.500 (multiplicity 2)

Output
density of states at the Fermi level: 5.502 states/eV/f.u.
E: -7.4716 eV per atom
total moment: 0.000 Bohr magnetons per cell
volume: 105.75 Å³/cell
energy relative to the elements: 72.6 kJ/mol of atoms



The following is a PBE calculation of a geometry-optimized Sr2LaI structure, from the Alexandria database.

Cell: 3.962 3.962 10.801 Å, 90.00 90.00 90.00°
Space group P4/mmm (No. 123)
One atom of each set of equivalent atoms:
1 Sr 0.000 0.000 0.229 (multiplicity 2)
2 La 0.500 0.500 0.500 (multiplicity 1)
3 I 0.500 0.500 0.000 (multiplicity 1)

Output
E_form (uncorrected): -0.476 eV per atom
ΔE to the lowest computed polymorph: 0 meV per atom
density of states at the Fermi level: 4.837 states/eV/f.u.
E: -2.9360 eV per atom
total moment: 0.000 Bohr magnetons per cell
volume: 169.52 Å³/cell